RbLi4 | PBE | optimized geometry

Cell lengths 5.8630, 5.8630, 5.8630 Å; angles 90.00, 90.00, 90.00 degrees
Element x y z (fractional)
Rb 0.5000 0.5000 0.5000
Li 0.0000 0.0000 0.0000
Li 0.5000 0.0000 0.5000
Li 0.0000 0.5000 0.5000
Li 0.5000 0.5000 0.0000

Values from the calculation:
- energy (eV per atom) = -1.016
- SG = Pm-3m (221)



LaMg2Nb | PBE | optimized geometry

Cell lengths 4.2623, 4.2623, 11.8276 Å; angles 79.62, 79.62, 90.00 degrees
Last column: magnetic moment on the atom in μB.
Element x y z (fractional)
Nb 0.5000 0.5000 0.0000  0.91
Nb 0.2500 0.7500 0.5000  0.91
Mg 0.5969 0.1250 0.2500  0.00
Mg 0.1531 0.6250 0.2500  0.00
Mg 0.3750 0.4031 0.7500  0.00
Mg 0.8750 0.8469 0.7500  0.00
La 0.0000 0.0000 0.0000  0.09
La 0.7500 0.2500 0.5000  0.09

Values from the calculation:
- energy (eV per atom) = -3.891
- SG = I-42d (122)
- distance to the lowest polymorph of the same formula (meV/atom) = 327.8



| no. | formation energy from the elements (kcal/mol of atoms) |
| --- | --- |
| 1 | 16.3 |
| 2 | 15.1 |